1.
A relaxed structure of NbSiGe2As. Source: Alexandria, functional PBE.

Geometry as POSCAR:
```
NbSiGe2As
1.0
4.8238 0.0000 0.0000
0.0000 4.6644 0.0000
0.0000 0.0000 4.8238
Si Nb Ge As
1 1 2 1
direct
0.0000 0.5000 0.0000 Si
0.5000 0.5000 0.5000 Nb
0.0000 0.0000 0.5000 Ge
0.5000 0.0000 0.0000 Ge
0.0000 0.0000 0.0000 As
```

DFT total energy = -4.67 eV per atom
Spin magnetization = 0.00 μB/f.u.
E above lowest polymorph = 409.2 meV/atom
SG = No. 123
Uncorrected formation energy = 1.201 eV per atom
N(E_F) = 6.3 states/eV per cell

---

2.
A relaxed structure of NbSiGe2As. Source: Alexandria, functional PBE.

Geometry as POSCAR:
```
NbSiGe2As
1.0
-4.0426 -2.8317 0.9447
1.8009 -3.5278 -2.8675
2.3421 -2.0227 3.9594
Si Nb Ge As
1 1 2 1
direct
0.0000 0.5000 0.0000 Si
0.0000 0.0000 0.0000 Nb
0.0000 0.0000 0.5000 Ge
0.5000 0.0000 0.0000 Ge
0.5000 0.5000 0.5000 As
```

DFT total energy = -5.08 eV per atom
Spin magnetization = 0.00 μB/f.u.
E above lowest polymorph = 0.0 meV/atom
SG = No. 123
Uncorrected formation energy = 0.791 eV per atom
N(E_F) = 6.5 states/eV per cell